DFT (PBE) results for an optimized crystal structure of Cs2ThCl4F2.

The structure belongs to space group C2/m (No. 12); the cell edges are 12.446, 8.005 and 5.999 Å and the angles 90.00°, 100.25° and 90.00°. The distinct sites, in fractional coordinates, are Cs at (0.168, 0.000, 0.326), Th at (0.000, 0.500, 0.000), Cl at (0.100, 0.250, 0.799) and F at (0.138, 0.500, 0.277).

The magnetization is 0.00 μB per cell. For the uncorrected formation energy, the calculation gives -23.9 eV per formula unit.

DFT (PBE) results for an optimized crystal structure of Cs2TiCl2F4.

The structure belongs to space group C2/m (No. 12); the cell edges are 11.230, 6.984 and 6.657 Å and the angles 90.00°, 99.82° and 90.00°. The distinct sites, in fractional coordinates, are Cs at (0.183, 0.000, 0.207), Ti at (0.000, 0.500, 0.000), Cl at (0.166, 0.500, 0.281) and F at (0.078, 0.308, 0.874).

The magnetization is 0.26 μB per cell. For the uncorrected formation energy, the calculation gives -25.1 eV per formula unit.

DFT (PBE) results for an optimized crystal structure of CsTiClF3.

The structure belongs to space group C2/c (No. 15); the cell edges are 7.624, 16.183 and 5.163 Å and the angles 90.00°, 124.33° and 90.00°. The distinct sites, in fractional coordinates, are Cs at (0.000, 0.096, 0.250), Ti at (0.000, 0.292, 0.750), Cl at (0.000, 0.306, 0.250), F at (0.000, 0.407, 0.750) and F at (0.176, 0.185, 0.969).

The magnetization is 4.00 μB per cell. For the uncorrected formation energy, the calculation gives -16.2 eV per formula unit.